1.
Compound: CsLiN2
Source: Alexandria
Functional: GGA-PBE
Structure: optimized geometry

Unit cell a=4.415 b=4.415 c=14.472 alpha=90.00 beta=90.00 gamma=90.00
Space group I4_1/amd (No. 141, origin choice 2)
Symmetry-distinct sites (fractional):
Cs 0.000 0.250 0.375
Li 0.000 0.250 0.875
N 0.000 0.000 0.000

Results
Polymorph energy (0 for the lowest one) ... 93 meV per atom
Total magnetic moment ... 8.0 Bohr magnetons per cell

2.
Compound: CsNaLiN2
Source: Alexandria
Functional: GGA-PBE
Structure: optimized geometry

Unit cell a=5.012 b=5.012 c=5.491 alpha=90.00 beta=90.00 gamma=90.00
Space group P4/mmm (No. 123)
Symmetry-distinct sites (fractional):
Cs 0.000 0.000 0.000
Na 0.000 0.000 0.500
Li 0.500 0.500 0.500
N 0.000 0.500 0.000

Results
Total magnetic moment ... 1.8 Bohr magnetons per cell

3.
Compound: CsLiN2O
Source: Alexandria
Functional: GGA-PBE
Structure: optimized geometry

Unit cell a=4.849 b=4.849 c=4.558 alpha=90.00 beta=90.00 gamma=90.00
Space group P4/mmm (No. 123)
Symmetry-distinct sites (fractional):
Cs 0.000 0.000 0.000
Li 0.500 0.500 0.500
N 0.000 0.500 0.000
O 0.000 0.000 0.500

Results
Total magnetic moment ... 3.0 Bohr magnetons per cell

4.
Compound: CsLiPN3
Source: Alexandria
Functional: GGA-PBE
Structure: optimized geometry

Unit cell a=5.665 b=14.055 c=5.047 alpha=90.00 beta=90.00 gamma=90.00
Space group Cmcm (No. 63)
Symmetry-distinct sites (fractional):
Cs 0.000 0.232 0.250
Li 0.000 0.014 0.750
P 0.000 0.469 0.750
N 0.000 0.352 0.750
N 0.206 0.500 0.000

Results
Total magnetic moment ... 6.9 Bohr magnetons per cell

5.
Compound: CsLi2PbN
Source: Alexandria
Functional: GGA-PBE
Structure: optimized geometry

Unit cell a=5.446 b=5.446 c=4.680 alpha=90.00 beta=90.00 gamma=90.00
Space group P4/mmm (No. 123)
Symmetry-distinct sites (fractional):
Cs 0.000 0.000 0.000
Li 0.000 0.500 0.000
Pb 0.500 0.500 0.500
N 0.000 0.000 0.500

Results
Total magnetic moment ... 0.0 Bohr magnetons per cell

6.
Compound: CsLi2PdN
Source: Alexandria
Functional: GGA-PBE
Structure: optimized geometry

Unit cell a=4.447 b=4.447 c=4.465 alpha=90.00 beta=90.00 gamma=90.00
Space group P4/mmm (No. 123)
Symmetry-distinct sites (fractional):
Cs 0.000 0.000 0.000
Li 0.000 0.500 0.500
Pd 0.500 0.500 0.000
N 0.500 0.500 0.500

Results
Total magnetic moment ... 0.0 Bohr magnetons per cell

7.
Compound: CsLiReN3
Source: Alexandria
Functional: GGA-PBE
Structure: optimized geometry

Unit cell a=5.779 b=13.899 c=5.474 alpha=90.00 beta=90.00 gamma=90.00
Space group Cmcm (No. 63)
Symmetry-distinct sites (fractional):
Cs 0.000 0.238 0.250
Li 0.000 0.016 0.750
Re 0.000 0.459 0.750
N 0.000 0.333 0.750
N 0.229 0.500 0.000

Results
Total magnetic moment ... 0.0 Bohr magnetons per cell

8.
Compound: Cs2LiRhN
Source: Alexandria
Functional: GGA-PBE
Structure: optimized geometry

Unit cell a=5.939 b=5.939 c=4.749 alpha=90.00 beta=90.00 gamma=90.00
Space group P4/mmm (No. 123)
Symmetry-distinct sites (fractional):
Cs 0.000 0.500 0.000
Li 0.000 0.000 0.500
Rh 0.000 0.000 0.000
N 0.500 0.500 0.500

Results
Total magnetic moment ... 1.8 Bohr magnetons per cell

9.
Compound: CsLiRh2N
Source: Alexandria
Functional: GGA-PBE
Structure: optimized geometry

Unit cell a=4.112 b=4.112 c=5.146 alpha=90.00 beta=90.00 gamma=90.00
Space group P4/mmm (No. 123)
Symmetry-distinct sites (fractional):
Cs 0.000 0.000 0.000
Li 0.500 0.500 0.000
Rh 0.000 0.500 0.500
N 0.500 0.500 0.500

Results
Total magnetic moment ... 0.0 Bohr magnetons per cell

10.
Compound: CsLiSN2
Source: Alexandria
Functional: GGA-PBE
Structure: optimized geometry

Unit cell a=4.887 b=4.887 c=6.274 alpha=90.00 beta=90.00 gamma=90.00
Space group P4/mmm (No. 123)
Symmetry-distinct sites (fractional):
Cs 0.000 0.000 0.000
Li 0.500 0.500 0.500
S 0.000 0.000 0.500
N 0.000 0.500 0.000

Results
Total magnetic moment ... 4.0 Bohr magnetons per cell

11.
Compound: CsLiSeN2
Source: Alexandria
Functional: GGA-PBE
Structure: optimized geometry

Unit cell a=4.916 b=4.916 c=6.678 alpha=90.00 beta=90.00 gamma=90.00
Space group P4/mmm (No. 123)
Symmetry-distinct sites (fractional):
Cs 0.000 0.000 0.000
Li 0.500 0.500 0.500
Se 0.000 0.000 0.500
N 0.000 0.500 0.000

Results
Total magnetic moment ... 4.0 Bohr magnetons per cell

12.
Compound: CsLiSe2N
Source: Alexandria
Functional: GGA-PBE
Structure: optimized geometry

Unit cell a=4.855 b=4.855 c=5.714 alpha=90.00 beta=90.00 gamma=90.00
Space group P4/mmm (No. 123)
Symmetry-distinct sites (fractional):
Cs 0.000 0.000 0.000
Li 0.500 0.500 0.500
Se 0.000 0.500 0.500
N 0.500 0.500 0.000

Results
Total magnetic moment ... 3.1 Bohr magnetons per cell

13.
Compound: CsLi2TaN
Source: Alexandria
Functional: GGA-PBE
Structure: optimized geometry

Unit cell a=5.339 b=5.339 c=4.034 alpha=90.00 beta=90.00 gamma=90.00
Space group P4/mmm (No. 123)
Symmetry-distinct sites (fractional):
Cs 0.000 0.000 0.000
Li 0.000 0.500 0.500
Ta 0.500 0.500 0.000
N 0.500 0.500 0.500

Results
Total magnetic moment ... 1.0 Bohr magnetons per cell

no.,E_tot (hartree per atom),formation energy (no corrections) (kcal/mol of atoms)
1,-0.1380,25.35
2,-0.0843,42.73
3,-0.1099,43.48
4,-0.2023,0.47
5,-0.0807,26.44
6,-0.1284,3.36
7,-0.2548,-5.41
8,-0.1020,24.98
9,-0.1762,8.38
10,-0.1002,45.70
11,-0.0979,44.22
12,-0.1170,9.86
13,-0.1684,8.99